YMgP2 | PBE | relaxed

Summary:
Its density of states at the Fermi level is 0.37 states/eV/atom. The formation enthalpy at 0 K is -0.690 eV per atom. The calculation puts the uncorrected energy at -5.410 eV per atom. The value obtained for the total magnetization is 0.000 μB/cell.

a = 6.193 Å, b = 6.910 Å, c = 3.580 Å
α = 90.00°, β = 90.00°, γ = 90.00°
Fractional positions:
Y 0.000 0.000 0.000
Y 0.500 0.500 0.000
Mg 0.000 0.500 0.000
Mg 0.500 0.000 0.000
P 0.250 0.250 0.500
P 0.250 0.750 0.500
P 0.750 0.250 0.500
P 0.750 0.750 0.500